1.
A plane-wave DFT calculation with GGA-PBE was carried out for an optimized crystal structure of NaZrPt2.

Lattice parameters (Å, degrees): 3.3163 3.3163 7.2219 90.00 90.00 90.00
With the nearest neighbours (Å) after each atom.
Space group P4/mmm (No. 123)
Symmetry-distinct sites (fractional):
1 Na 0.0000 0.0000 0.0000 x1  8 Pt 3.13, 4 Na 3.32
2 Zr 0.0000 0.0000 0.5000 x1  8 Pt 2.80
3 Pt 0.5000 0.5000 0.2880 x2  4 Zr 2.80, 1 Pt 3.06, 4 Na 3.13

Calculated values
**DOS at the Fermi energy**: 1.2 states/eV per cell
**ΔE_f**: -689 meV/atom



2.
A plane-wave DFT calculation with GGA-PBE was carried out for an optimized crystal structure of Na3Pu.

Lattice parameters (Å, degrees): 8.4434 8.4434 8.4434 90.00 90.00 90.00
With the nearest neighbours (Å) after each atom.
Space group Fm-3m (No. 225)
Symmetry-distinct sites (fractional):
1 Na 0.0000 0.0000 0.0000 x4  8 Na 3.66
2 Na 0.2500 0.2500 0.2500 x8  4 Na 3.66, 4 Pu 3.66
3 Pu 0.0000 0.0000 0.5000 x4  8 Na 3.66

Calculated values
**DOS at the Fermi energy**: 96.3 states/eV per cell
**Distance to the lowest polymorph of the same formula**: 0.13 eV per formula unit
**ΔE_f**: 561 meV/atom



3.
A plane-wave DFT calculation with GGA-PBE was carried out for an optimized crystal structure of Na3Pu.

Lattice parameters (Å, degrees): 7.4937 7.4937 6.0442 90.00 90.00 120.00
With the nearest neighbours (Å) after each atom.
Space group P6_3/mmc (No. 194)
Symmetry-distinct sites (fractional):
1 Na 0.1622 0.3244 0.2500 x6  8 Na 3.65-3.85, 4 Pu 3.75
2 Pu 0.3333 0.6667 0.7500 x2  12 Na 3.75

Calculated values
**DOS at the Fermi energy**: 44.2 states/eV per cell
**Distance to the lowest polymorph of the same formula**: 0.00 eV per formula unit
**ΔE_f**: 529 meV/atom



4.
A plane-wave DFT calculation with GGA-PBE was carried out for an optimized crystal structure of Na6Pu.

Lattice parameters (Å, degrees): 8.4832 8.4832 8.4832 90.00 90.00 90.00
With the nearest neighbours (Å) after each atom.
Space group Im-3m (No. 229)
Symmetry-distinct sites (fractional):
1 Na 0.0000 0.2500 0.5000 x12  4 Na 3.00
2 Pu 0.0000 0.0000 0.0000 x2  24 Na 4.74

Calculated values
**DOS at the Fermi energy**: 56.1 states/eV per cell
**ΔE_f**: 591 meV/atom



5.
A plane-wave DFT calculation with GGA-PBE was carried out for an optimized crystal structure of Rb3NaPu3S8.

Lattice parameters (Å, degrees): 8.1306 8.1306 22.9448 90.00 90.00 120.00
With the nearest neighbours (Å) after each atom.
Space group R-3m (No. 166, hexagonal axes)
Symmetry-distinct sites (fractional):
1 Rb 0.0000 0.5000 0.0000 x9  6 S 3.33-3.43
2 Na 0.0000 0.0000 0.5000 x3  6 S 2.89
3 Pu 0.0000 0.5000 0.5000 x9  6 S 2.67-2.76
4 S 0.0000 0.0000 0.2301 x6  3 Pu 2.76
5 S 0.0252 0.5126 0.7717 x18  2 Pu 2.67, 1 Na 2.89

Calculated values
**DOS at the Fermi energy**: 71.1 states/eV per cell
**Uncorrected formation energy**: -2003 kJ/mol of formula units



6.
A plane-wave DFT calculation with GGA-PBE was carried out for an optimized crystal structure of Rb4NaPu3S8.

Lattice parameters (Å, degrees): 8.2852 8.2852 22.7661 90.00 90.00 120.00
With the nearest neighbours (Å) after each atom.
Space group R-3m (No. 166, hexagonal axes)
Symmetry-distinct sites (fractional):
1 Rb 0.0000 0.0000 0.0000 x3  6 S 3.26
2 Rb 0.0000 0.5000 0.0000 x9  6 S 3.35-3.43
3 Na 0.0000 0.0000 0.5000 x3  6 S 2.92
4 Pu 0.0000 0.5000 0.5000 x9  6 S 2.72-2.79
5 S 0.0000 0.0000 0.2301 x6  3 Pu 2.79
6 S 0.0216 0.5108 0.7709 x18  2 Pu 2.72, 1 Na 2.92

Calculated values
**DOS at the Fermi energy**: 72.5 states/eV per cell
**Uncorrected formation energy**: -2204 kJ/mol of formula units



7.
A plane-wave DFT calculation with GGA-PBE was carried out for an optimized crystal structure of Rb3NaPu2Se6.

Lattice parameters (Å, degrees): 7.4764 12.9495 8.2852 90.00 107.44 90.00
With the nearest neighbours (Å) after each atom.
Space group C2/m (No. 12)
Symmetry-distinct sites (fractional):
1 Rb 0.0000 0.0000 0.0000 x2  6 Se 3.36-3.54
2 Rb 0.0000 0.3424 0.0000 x4  6 Se 3.40-3.55
3 Na 0.0000 0.5000 0.5000 x2  6 Se 3.07-3.10
4 Pu 0.0000 0.1673 0.5000 x4  6 Se 2.85
5 Se 0.2063 0.0000 0.6914 x4  2 Pu 2.85, 1 Na 3.07
6 Se 0.2452 0.3201 0.6955 x8  2 Pu 2.85, 1 Na 3.10

Calculated values
**DOS at the Fermi energy**: 32.0 states/eV per cell
**Uncorrected formation energy**: -1496 kJ/mol of formula units



8.
A plane-wave DFT calculation with GGA-PBE was carried out for an optimized crystal structure of NaPu2Rh.

Lattice parameters (Å, degrees): 3.6974 3.6974 31.7163 90.00 90.00 120.00
With the nearest neighbours (Å) after each atom.
Space group R-3m (No. 166, hexagonal axes)
Symmetry-distinct sites (fractional):
1 Na 0.0000 0.0000 0.0000 x3  2 Pu 3.54, 6 Na 3.70
2 Pu 0.0000 0.0000 0.1115 x6  3 Rh 2.76
3 Rh 0.0000 0.0000 0.5000 x3  6 Pu 2.76

Calculated values
**DOS at the Fermi energy**: 52.5 states/eV per cell
**Distance to the lowest polymorph of the same formula**: 0.56 eV per formula unit
**ΔE_f**: 88 meV/atom